Model A:
Density functional theory data (PBE) for a relaxed HgHBr3 crystal.

Properties
Crystal system: cubic
SG: No. 221
Size of the total moment in Bohr magnetons per cell: 0.92

Cell lengths 5.4999, 5.4999, 5.4999 Å; angles 90.00, 90.00, 90.00 degrees
With the nearest neighbours (Å) after each atom.
Positions (direct):
H (0.5000, 0.5000, 0.5000)  12 Br 3.89
Hg (0.0000, 0.0000, 0.0000)  6 Br 2.75
Br (0.0000, 0.5000, 0.0000)  2 Hg 2.75
Br (0.0000, 0.0000, 0.5000)  2 Hg 2.75
Br (0.5000, 0.0000, 0.0000)  2 Hg 2.75

***

Model B:
Density functional theory data (PBE) for a relaxed HgHBr3 crystal.

Properties
Crystal system: monoclinic
SG: No. 14
Size of the total moment in Bohr magnetons per cell: 0.00

Cell lengths 6.5266, 8.7738, 12.7788 Å; angles 89.33, 90.00, 90.00 degrees
With the nearest neighbours (Å) after each atom.
Positions (direct):
Hg (0.7444, 0.0659, 0.5869)  2 Br 2.47
Hg (0.2556, 0.9341, 0.4131)  2 Br 2.47
Hg (0.2444, 0.9341, 0.9131)  2 Br 2.47
Hg (0.7556, 0.0659, 0.0869)  2 Br 2.47
H (0.1570, 0.5199, 0.2680)  1 Br 1.45
H (0.8430, 0.4801, 0.7320)  1 Br 1.45
H (0.6570, 0.4801, 0.2320)  1 Br 1.45
H (0.3430, 0.5199, 0.7680)  1 Br 1.45
Br (0.9684, 0.0916, 0.3469)  1 Hg 2.47
Br (0.0316, 0.9084, 0.6531)  1 Hg 2.47
Br (0.4684, 0.9084, 0.1531)  1 Hg 2.47
Br (0.5316, 0.0916, 0.8469)  1 Hg 2.47
Br (0.4689, 0.2356, 0.5228)  1 Hg 2.47
Br (0.5311, 0.7644, 0.4772)  1 Hg 2.47
Br (0.9689, 0.7644, 0.9772)  1 Hg 2.47
Br (0.0311, 0.2356, 0.0228)  1 Hg 2.47
Br (0.0185, 0.4041, 0.6863)  1 H 1.45
Br (0.9815, 0.5959, 0.3137)  1 H 1.45
Br (0.5185, 0.5959, 0.8137)  1 H 1.45
Br (0.4815, 0.4041, 0.1863)  1 H 1.45

***

Model C:
Density functional theory data (PBE) for a relaxed HgHBr3 crystal.

Properties
Crystal system: cubic
SG: No. 221
Size of the total moment in Bohr magnetons per cell: 0.00

Cell lengths 4.8072, 4.8072, 4.8072 Å; angles 90.00, 90.00, 90.00 degrees
With the nearest neighbours (Å) after each atom.
Positions (direct):
H (0.0000, 0.0000, 0.0000)  6 Br 2.40
Hg (0.5000, 0.5000, 0.5000)  12 Br 3.40
Br (0.0000, 0.5000, 0.0000)  2 H 2.40
Br (0.0000, 0.0000, 0.5000)  2 H 2.40
Br (0.5000, 0.0000, 0.0000)  2 H 2.40

***

Top of the stability list: model B, leading by 787 meV/atom.

***

Model A:
Density functional theory data (PBE) for a relaxed HgHBr2 crystal.

Properties
Crystal system: tetragonal
SG: No. 122
Size of the total moment in Bohr magnetons per cell: 0.00

Cell lengths 6.3003, 6.3003, 6.6003 Å; angles 61.49, 61.49, 90.00 degrees
With the nearest neighbours (Å) after each atom.
Positions (direct):
H (0.5000, 0.5000, 0.0000)  4 Br 2.17
H (0.2500, 0.7500, 0.5000)  4 Br 2.17
Hg (0.0000, 0.0000, 0.0000)  4 Br 3.03
Hg (0.7500, 0.2500, 0.5000)  4 Br 3.03
Br (0.5132, 0.1250, 0.2500)  2 H 2.17
Br (0.2368, 0.6250, 0.2500)  2 H 2.17
Br (0.3750, 0.4868, 0.7500)  2 H 2.17
Br (0.8750, 0.7632, 0.7500)  2 H 2.17

***

Model B:
Density functional theory data (PBE) for a relaxed HgHBr2 crystal.

Properties
Crystal system: trigonal
SG: No. 166
Size of the total moment in Bohr magnetons per cell: 1.00

Cell lengths 8.3882, 8.3882, 8.3882 Å; angles 35.69, 35.69, 35.69 degrees
With the nearest neighbours (Å) after each atom.
Positions (direct):
H (0.5000, 0.5000, 0.5000)  6 Br 3.33
Hg (0.0000, 0.0000, 0.0000)  2 Br 2.42
Br (0.8972, 0.8972, 0.8972)  1 Hg 2.42
Br (0.1028, 0.1028, 0.1028)  1 Hg 2.42

***

Top of the stability list: model A, leading by 73 meV/atom.

***

Model A:
Density functional theory data (PBE) for a relaxed H3IBr crystal.

Properties
Crystal system: cubic
SG: No. 221
Size of the total moment in Bohr magnetons per cell: 0.00

Cell lengths 4.0613, 4.0613, 4.0613 Å; angles 90.00, 90.00, 90.00 degrees
With the nearest neighbours (Å) after each atom.
Positions (direct):
I (0.5000, 0.5000, 0.5000)  12 H 2.87
H (0.0000, 0.5000, 0.0000)  2 Br 2.03
H (0.0000, 0.0000, 0.5000)  2 Br 2.03
H (0.5000, 0.0000, 0.0000)  2 Br 2.03
Br (0.0000, 0.0000, 0.0000)  6 H 2.03

***

Model B:
Density functional theory data (PBE) for a relaxed H3IBr crystal.

Properties
Crystal system: cubic
SG: No. 221
Size of the total moment in Bohr magnetons per cell: 0.00

Cell lengths 4.0660, 4.0660, 4.0660 Å; angles 90.00, 90.00, 90.00 degrees
With the nearest neighbours (Å) after each atom.
Positions (direct):
I (0.0000, 0.0000, 0.0000)  6 H 2.03
H (0.0000, 0.5000, 0.0000)  2 I 2.03
H (0.0000, 0.0000, 0.5000)  2 I 2.03
H (0.5000, 0.0000, 0.0000)  2 I 2.03
Br (0.5000, 0.5000, 0.5000)  12 H 2.88

***

Model C:
Density functional theory data (PBE) for a relaxed H3IBr crystal.

Properties
Crystal system: triclinic
SG: No. 2
Size of the total moment in Bohr magnetons per cell: 0.00

Cell lengths 6.5425, 6.1426, 7.1606 Å; angles 112.66, 62.05, 101.76 degrees
With the nearest neighbours (Å) after each atom.
Positions (direct):
H (0.9218, 0.7741, 0.0174)  1 H 0.75
H (0.0782, 0.2259, 0.9826)  1 H 0.75
H (0.9867, 0.7355, 0.0621)  1 H 0.75
H (0.0133, 0.2645, 0.9379)  1 H 0.75
H (0.9753, 0.2505, 0.5137)  1 Br 1.66
H (0.0247, 0.7495, 0.4863)  1 Br 1.66
I (0.3131, 0.2418, 0.3230)  1 H 1.98
I (0.6869, 0.7582, 0.6770)  1 H 1.98
Br (0.6925, 0.2582, 0.6742)  1 H 1.66
Br (0.3075, 0.7418, 0.3258)  1 H 1.66

***

Top of the stability list: model C, leading by 614 meV/atom.

***

Model A:
Density functional theory data (PBE) for a relaxed Sb2HIBr crystal.

Properties
Crystal system: tetragonal
SG: No. 123
Size of the total moment in Bohr magnetons per cell: 3.53

Cell lengths 5.6507, 5.6507, 6.7884 Å; angles 90.00, 90.00, 90.00 degrees
With the nearest neighbours (Å) after each atom.
Positions (direct):
I (0.0000, 0.0000, 0.5000)  2 Br 3.39
Sb (0.0000, 0.5000, 0.0000)  2 Br 2.83
Sb (0.5000, 0.0000, 0.0000)  2 Br 2.83
Br (0.0000, 0.0000, 0.0000)  4 Sb 2.83
H (0.5000, 0.5000, 0.5000)  4 I 4.00, 8 Sb 4.42

***

Model B:
Density functional theory data (PBE) for a relaxed Sb2HIBr crystal.

Properties
Crystal system: tetragonal
SG: No. 123
Size of the total moment in Bohr magnetons per cell: 0.00

Cell lengths 4.8784, 4.8784, 5.0176 Å; angles 90.00, 90.00, 90.00 degrees
With the nearest neighbours (Å) after each atom.
Positions (direct):
I (0.0000, 0.0000, 0.5000)  2 H 2.51
Sb (0.0000, 0.5000, 0.0000)  2 H 2.44
Sb (0.5000, 0.0000, 0.0000)  2 H 2.44
Br (0.5000, 0.5000, 0.5000)  4 I 3.45, 8 Sb 3.50
H (0.0000, 0.0000, 0.0000)  4 Sb 2.44, 2 I 2.51

***

Top of the stability list: model B, leading by 661 meV/atom.

***

Model A:
Density functional theory data (PBE) for a relaxed SbHI2Br crystal.

Properties
Crystal system: tetragonal
SG: No. 123
Size of the total moment in Bohr magnetons per cell: 3.01

Cell lengths 6.0927, 6.0927, 5.8007 Å; angles 90.00, 90.00, 90.00 degrees
With the nearest neighbours (Å) after each atom.
Positions (direct):
I (0.0000, 0.5000, 0.0000)  2 Br 3.05
I (0.5000, 0.0000, 0.0000)  2 Br 3.05
Sb (0.0000, 0.0000, 0.5000)  2 Br 2.90
Br (0.0000, 0.0000, 0.0000)  2 Sb 2.90, 4 I 3.05
H (0.5000, 0.5000, 0.5000)  8 I 4.21, 4 Sb 4.31

***

Model B:
Density functional theory data (PBE) for a relaxed SbHI2Br crystal.

Properties
Crystal system: tetragonal
SG: No. 123
Size of the total moment in Bohr magnetons per cell: 0.00

Cell lengths 5.7763, 5.7763, 3.9453 Å; angles 90.00, 90.00, 90.00 degrees
With the nearest neighbours (Å) after each atom.
Positions (direct):
I (0.0000, 0.5000, 0.0000)  2 H 2.89
I (0.5000, 0.0000, 0.0000)  2 H 2.89
Sb (0.0000, 0.0000, 0.5000)  2 H 1.97
Br (0.5000, 0.5000, 0.5000)  8 I 3.50
H (0.0000, 0.0000, 0.0000)  2 Sb 1.97

***

Top of the stability list: model B, leading by 500 meV/atom.

***

Model A:
Density functional theory data (PBE) for a relaxed Te2HIBr crystal.

Properties
Crystal system: tetragonal
SG: No. 123
Size of the total moment in Bohr magnetons per cell: 2.17

Cell lengths 5.6852, 5.6852, 6.0081 Å; angles 90.00, 90.00, 90.00 degrees
With the nearest neighbours (Å) after each atom.
Positions (direct):
I (0.0000, 0.0000, 0.5000)  2 Br 3.00
H (0.5000, 0.5000, 0.5000)  4 I 4.02, 8 Te 4.14
Te (0.0000, 0.5000, 0.0000)  2 Br 2.84
Te (0.5000, 0.0000, 0.0000)  2 Br 2.84
Br (0.0000, 0.0000, 0.0000)  4 Te 2.84, 2 I 3.00

***

Model B:
Density functional theory data (PBE) for a relaxed Te2HIBr crystal.

Properties
Crystal system: tetragonal
SG: No. 123
Size of the total moment in Bohr magnetons per cell: 0.00

Cell lengths 4.3826, 4.3826, 8.5522 Å; angles 90.00, 90.00, 90.00 degrees
With the nearest neighbours (Å) after each atom.
Positions (direct):
I (0.0000, 0.0000, 0.5000)  4 Br 3.10
H (0.0000, 0.0000, 0.0000)  4 Te 2.19
Te (0.0000, 0.5000, 0.0000)  2 H 2.19
Te (0.5000, 0.0000, 0.0000)  2 H 2.19
Br (0.5000, 0.5000, 0.5000)  4 I 3.10

***

Top of the stability list: model B, leading by 732 meV/atom.

***

Model A:
Density functional theory data (PBE) for a relaxed In2HBr crystal.

Properties
Crystal system: cubic
SG: No. 225
Size of the total moment in Bohr magnetons per cell: 0.00

Cell lengths 5.2910, 5.2910, 5.2910 Å; angles 60.00, 60.00, 60.00 degrees
With the nearest neighbours (Å) after each atom.
Positions (direct):
H (0.0000, 0.0000, 0.0000)  8 In 3.24
Br (0.5000, 0.5000, 0.5000)  8 In 3.24
In (0.2500, 0.2500, 0.2500)  4 H 3.24, 4 Br 3.24
In (0.7500, 0.7500, 0.7500)  4 H 3.24, 4 Br 3.24

***

Model B:
Density functional theory data (PBE) for a relaxed In2HBr crystal.

Properties
Crystal system: tetragonal
SG: No. 122
Size of the total moment in Bohr magnetons per cell: 0.00

Cell lengths 6.2878, 6.2878, 7.3173 Å; angles 64.55, 64.55, 90.00 degrees
With the nearest neighbours (Å) after each atom.
Positions (direct):
H (0.5000, 0.5000, 0.0000)  4 In 2.29
H (0.2500, 0.7500, 0.5000)  4 In 2.29
Br (0.0000, 0.0000, 0.0000)  4 In 3.16
Br (0.7500, 0.2500, 0.5000)  4 In 3.16
In (0.5051, 0.1250, 0.2500)  2 H 2.29
In (0.2449, 0.6250, 0.2500)  2 H 2.29
In (0.3750, 0.4949, 0.7500)  2 H 2.29
In (0.8750, 0.7551, 0.7500)  2 H 2.29

***

Top of the stability list: model B, leading by 131 meV/atom.

***

Model A:
Density functional theory data (PBE) for a relaxed InHBr3 crystal.

Properties
Crystal system: cubic
SG: No. 221
Size of the total moment in Bohr magnetons per cell: 0.99

Cell lengths 5.4400, 5.4400, 5.4400 Å; angles 90.00, 90.00, 90.00 degrees
With the nearest neighbours (Å) after each atom.
Positions (direct):
H (0.5000, 0.5000, 0.5000)  12 Br 3.85
Br (0.0000, 0.5000, 0.0000)  2 In 2.72
Br (0.0000, 0.0000, 0.5000)  2 In 2.72
Br (0.5000, 0.0000, 0.0000)  2 In 2.72
In (0.0000, 0.0000, 0.0000)  6 Br 2.72

***

Model B:
Density functional theory data (PBE) for a relaxed InHBr3 crystal.

Properties
Crystal system: triclinic
SG: No. 2
Size of the total moment in Bohr magnetons per cell: 1.98

Cell lengths 4.1177, 7.7634, 9.9680 Å; angles 94.43, 90.08, 74.87 degrees
With the nearest neighbours (Å) after each atom.
Positions (direct):
In (0.2477, 0.8549, 0.4943)  4 Br 2.50-2.73
In (0.8352, 0.6909, 0.1193)  4 Br 2.50-2.73
H (0.6339, 0.0926, 0.8712)  1 H 3.08, 4 Br 3.09-3.23
H (0.4490, 0.4531, 0.7424)  1 H 3.08, 4 Br 3.09-3.23
Br (0.0989, 0.1677, 0.6025)  1 In 2.50
Br (0.8215, 0.7076, 0.6260)  2 In 2.72-2.73
Br (0.6916, 0.9772, 0.3013)  2 In 2.70-3.00
Br (0.2615, 0.8382, 0.9876)  2 In 2.72-2.73
Br (0.3913, 0.5686, 0.3124)  2 In 2.70-3.00
Br (0.9839, 0.3781, 0.0111)  1 In 2.50

***

Model C:
Density functional theory data (PBE) for a relaxed InHBr3 crystal.

Properties
Crystal system: cubic
SG: No. 221
Size of the total moment in Bohr magnetons per cell: 0.00

Cell lengths 4.8588, 4.8588, 4.8588 Å; angles 90.00, 90.00, 90.00 degrees
With the nearest neighbours (Å) after each atom.
Positions (direct):
H (0.0000, 0.0000, 0.0000)  6 Br 2.43
Br (0.0000, 0.5000, 0.0000)  2 H 2.43
Br (0.0000, 0.0000, 0.5000)  2 H 2.43
Br (0.5000, 0.0000, 0.0000)  2 H 2.43
In (0.5000, 0.5000, 0.5000)  12 Br 3.44

***

Top of the stability list: model B, leading by 143 meV/atom.